(1)
First-principles (GGA-PBE) data for crystalline NbTlAg at its relaxed geometry, as listed in Alexandria.

Cell and atoms, written as POSCAR:
```
NbTlAg
1.0
3.0067 0.0000 0.0000
-0.9019 2.8685 0.0000
-1.4190 -1.1558 14.9717
Nb Tl Ag
2 2 2
direct
0.0000 0.0000 0.0000 Nb
0.4184 0.4421 0.8599 Nb
0.5837 0.5866 0.1711 Tl
0.7813 0.6106 0.3877 Tl
0.3069 0.2551 0.5599 Ag
0.8323 0.8763 0.7073 Ag
```

Output
The crystal system is triclinic. As for the total energy: -29.312 eV per cell. The calculated formation energy comes out at 0.2104 eV per atom. The calculation puts the magnetic moment at 0.000 μB/atom. For the density of states at the Fermi level, the calculation gives 0.56 states/eV per atom. The space group is No. 1. For the volume, the calculation gives 21.52 Å³/atom.

(2)
First-principles (GGA-PBE) data for crystalline DySc2Sb3 at its relaxed geometry, as listed in Alexandria.

Cell and atoms, written as POSCAR:
```
DySc2Sb3
1.0
-2.1255 2.1255 8.9766
2.1255 -2.1255 8.9766
2.1255 2.1255 -8.9766
Dy Sc Sb
1 2 3
direct
0.0000 0.0000 0.0000 Dy
0.3342 0.3342 0.0000 Sc
0.6658 0.6658 0.0000 Sc
0.1710 0.1710 0.0000 Sb
0.5000 0.5000 0.0000 Sb
0.8290 0.8290 0.0000 Sb
```

Output
The crystal system is tetragonal. As for the total energy: -35.527 eV per cell. The calculation puts the magnetic moment at 0.000 μB/atom. The raw formation energy comes out at -22.66 kcal/mol of atoms. For the density of states at the Fermi level, the calculation gives 0.16 states/eV per atom. The space group is No. 139. For the volume, the calculation gives 27.04 Å³/atom.

(3)
First-principles (GGA-PBE) data for crystalline CdInTe2 at its relaxed geometry, as listed in Alexandria.

Cell and atoms, written as POSCAR:
```
CdInTe2
1.0
3.1585 -6.1119 0.0000
3.1585 6.1119 0.0000
-0.8693 0.0000 3.0253
Cd In Te
1 1 2
direct
0.0000 0.0000 0.0000 Cd
0.5000 0.5000 0.0000 In
0.0000 0.5000 0.5000 Te
0.5000 0.0000 0.5000 Te
```

Output
The crystal system is monoclinic. As for the total energy: -9.771 eV per cell. The calculation puts the magnetic moment at 0.000 μB/atom. The raw formation energy comes out at 0.96 kcal/mol of atoms. For the density of states at the Fermi level, the calculation gives 0.34 states/eV per atom. The space group is No. 12. For the volume, the calculation gives 29.20 Å³/atom.